(1)
A plane-wave DFT calculation with PBE was carried out for a relaxed K2TmPdO4 crystal.

Lattice parameters (Å, degrees): 3.2964 5.8973 6.6014 109.95 90.00 90.00
Last column: magnetic moment on the atom in μB.
Fractional positions:
1 K 0.0000 0.5000 0.5000  0.01
2 K 0.5000 0.0000 0.5000  0.00
3 O 0.0000 0.2938 0.7925  0.16
4 O 0.5000 0.7897 0.8324  0.04
5 O 0.5000 0.2103 0.1676  0.04
6 O 0.0000 0.7062 0.2075  0.16
7 Tm 0.5000 0.5000 0.0000  -0.02
8 Pd 0.0000 0.0000 0.0000  0.50

Summary:
DOS(E_F) ... 0.22 states/eV/f.u.
Total magnetization ... 0.12 μB per atom
Space group ... P2/m (10)
Uncorrected formation energy ... -1.748 eV/atom
Uncorrected energy ... -5.710 eV/atom

=====

(2)
A plane-wave DFT calculation with PBE was carried out for a relaxed GaAs2PbSe crystal.

Lattice parameters (Å, degrees): 5.4551 5.4551 5.5558 90.00 90.00 90.00
Last column: magnetic moment on the atom in μB.
Fractional positions:
1 As 0.5000 0.0000 0.0000  0.27
2 As 0.0000 0.5000 0.0000  0.27
3 Ga 0.5000 0.5000 0.5000  0.00
4 Pb 0.0000 0.0000 0.0000  -0.01
5 Se 0.0000 0.0000 0.5000  0.09

Summary:
DOS(E_F) ... 4.73 states/eV/f.u.
Total magnetization ... 0.26 μB per atom
Space group ... P4/mmm (123)
Uncorrected formation energy ... 0.805 eV/atom
Uncorrected energy ... -3.099 eV/atom
E above lowest polymorph ... 2.51 eV per formula unit